A plane-wave DFT calculation with PBE was carried out for a relaxed structure of Tl2NiI2Br2.

Cell lengths 6.3195, 6.9065, 8.1877 Å; angles 62.09, 62.23, 91.11 degrees
Last column: nearest neighbours and their distance in Å.
Fractional coordinates of all 7 atoms:
I: 0.6963 0.2355 0.0417  1 Ni 2.54
I: 0.3037 0.7645 0.9583  1 Ni 2.54
Br: 0.8246 0.7890 0.3793  1 Ni 2.34
Br: 0.1754 0.2110 0.6207  1 Ni 2.34
Tl: 0.7828 0.2643 0.4277  4 Br 3.33-3.49, 3 I 3.54-3.64
Tl: 0.2172 0.7357 0.5723  4 Br 3.33-3.49, 3 I 3.54-3.64
Ni: 0.0000 0.0000 0.0000  2 Br 2.34, 2 I 2.54

Calculated values
The uncorrected formation energy is -45.69 kJ per mole of atoms. The density of states at the Fermi level comes out at 0.289 states/eV/atom. The space group is No. 2. The calculated total energy is -2.90 eV per atom. Its crystal system is triclinic. For the size of the total moment, the calculation gives 0.1 μB per formula unit.

***

A plane-wave DFT calculation with PBE was carried out for a relaxed structure of YNi2IBr.

Cell lengths 4.4590, 5.6924, 4.4590 Å; angles 90.00, 90.00, 90.00 degrees
Last column: nearest neighbours and their distance in Å.
Fractional coordinates of all 5 atoms:
Y: 0.0000 0.5000 0.0000  2 Br 2.85, 4 I 3.15
Ni: 0.5000 0.0000 0.0000  2 Br 2.23
Ni: 0.0000 0.0000 0.5000  2 Br 2.23
Br: 0.0000 0.0000 0.0000  4 Ni 2.23
I: 0.5000 0.5000 0.5000  4 Y 3.15

Calculated values
The uncorrected formation energy is 19.92 kJ per mole of atoms. The density of states at the Fermi level comes out at 0.592 states/eV/atom. The space group is No. 123. The calculated total energy is -4.04 eV per atom. Its crystal system is tetragonal. For the size of the total moment, the calculation gives 0.0 μB per formula unit.

***

A plane-wave DFT calculation with PBE was carried out for a relaxed structure of ZrNiIBr2.

Cell lengths 4.8746, 5.2851, 4.8746 Å; angles 90.00, 90.00, 90.00 degrees
Last column: nearest neighbours and their distance in Å.
Fractional coordinates of all 5 atoms:
I: 0.0000 0.5000 0.0000  2 Ni 2.64
Zr: 0.5000 0.5000 0.5000  4 I 3.45, 8 Br 3.59
Br: 0.5000 0.0000 0.0000  2 Ni 2.44
Br: 0.0000 0.0000 0.5000  2 Ni 2.44
Ni: 0.0000 0.0000 0.0000  4 Br 2.44, 2 I 2.64

Calculated values
The uncorrected formation energy is 17.35 kJ per mole of atoms. The density of states at the Fermi level comes out at 1.204 states/eV/atom. The space group is No. 123. The calculated total energy is -3.67 eV per atom. Its crystal system is tetragonal. For the size of the total moment, the calculation gives 2.0 μB per formula unit.

***

A plane-wave DFT calculation with PBE was carried out for a relaxed structure of Np3I7Br.

Cell lengths 7.4381, 8.9260, 8.9260 Å; angles 120.00, 90.00, 90.00 degrees
Last column: nearest neighbours and their distance in Å.
Fractional coordinates of all 11 atoms:
I: 0.0258 0.6667 0.3333  3 Np 3.19
I: 0.5397 0.8300 0.1700  2 Np 3.12
I: 0.5397 0.3399 0.1700  2 Np 3.12
I: 0.0222 0.1701 0.8299  2 Np 3.12
I: 0.5397 0.8300 0.6601  2 Np 3.12
I: 0.0222 0.1701 0.3402  2 Np 3.12
I: 0.0222 0.6598 0.8299  2 Np 3.12
Br: 0.5677 0.3333 0.6667  3 Np 2.99
Np: 0.7787 0.4982 0.9963  1 Br 2.99, 5 I 3.12-3.19
Np: 0.7787 0.0037 0.5018  1 Br 2.99, 5 I 3.12-3.19
Np: 0.7787 0.4982 0.5018  1 Br 2.99, 5 I 3.12-3.19

Calculated values
The uncorrected formation energy is -83.94 kJ per mole of atoms. The density of states at the Fermi level comes out at 1.849 states/eV/atom. The space group is No. 156. The calculated total energy is -5.54 eV per atom. Its crystal system is trigonal. For the size of the total moment, the calculation gives 13.0 μB per formula unit.

***

A plane-wave DFT calculation with PBE was carried out for a relaxed structure of NpI2Br8.

Cell lengths 7.8699, 8.0741, 9.3539 Å; angles 73.12, 65.12, 90.00 degrees
Last column: nearest neighbours and their distance in Å.
Fractional coordinates of all 11 atoms:
Br: 0.9256 0.6424 0.1488  1 Np 2.76, 1 I 2.95
Br: 0.3397 0.9660 0.7925  1 Np 2.63
Br: 0.1322 0.0340 0.2075  1 Np 2.63
Br: 0.8678 0.9660 0.7925  1 Np 2.63
Br: 0.5836 0.4448 0.8328  1 I 2.55
Br: 0.4164 0.5552 0.1672  1 I 2.55
Br: 0.6603 0.0340 0.2075  1 Np 2.63
Br: 0.0744 0.3576 0.8512  1 Np 2.76, 1 I 2.95
Np: 0.0000 0.0000 0.0000  6 Br 2.63-2.76
I: 0.2577 0.4616 0.4845  1 Br 2.55
I: 0.7423 0.5384 0.5155  1 Br 2.55

Calculated values
The uncorrected formation energy is -56.31 kJ per mole of atoms. The density of states at the Fermi level comes out at 0.688 states/eV/atom. The space group is No. 12. The calculated total energy is -3.26 eV per atom. Its crystal system is monoclinic. For the size of the total moment, the calculation gives 1.6 μB per formula unit.

***

A plane-wave DFT calculation with PBE was carried out for a relaxed structure of NpIBr2.

Cell lengths 4.3035, 7.4194, 6.2082 Å; angles 114.78, 90.00, 90.00 degrees
Last column: nearest neighbours and their distance in Å.
Fractional coordinates of all 4 atoms:
Np: 0.5000 0.5000 0.2500  4 Br 2.89, 2 I 3.10
Br: 0.0000 0.2131 0.1065  2 Np 2.89
Br: 0.0000 0.7869 0.3935  2 Np 2.89
I: 0.5000 0.5000 0.7500  2 Np 3.10

Calculated values
The uncorrected formation energy is -109.20 kJ per mole of atoms. The density of states at the Fermi level comes out at 1.697 states/eV/atom. The space group is No. 10. The calculated total energy is -5.59 eV per atom. Its crystal system is monoclinic. For the size of the total moment, the calculation gives 4.0 μB per formula unit.

***

A plane-wave DFT calculation with PBE was carried out for a relaxed structure of NpI2Br4.

Cell lengths 5.4781, 5.4781, 13.8080 Å; angles 78.56, 78.56, 90.00 degrees
Last column: nearest neighbours and their distance in Å.
Fractional coordinates of all 7 atoms:
I: 0.7492 0.7492 0.5015  4 I 3.87, 1 Br 4.01
I: 0.2508 0.2508 0.4985  4 I 3.87, 1 Br 4.01
Br: 0.0996 0.0996 0.8008  1 Np 2.64
Br: 0.9004 0.9004 0.1992  1 Np 2.64
Br: 0.5000 0.0000 0.0000  2 Np 2.74
Br: 0.0000 0.5000 0.0000  2 Np 2.74
Np: 0.0000 0.0000 0.0000  6 Br 2.64-2.74

Calculated values
The uncorrected formation energy is -60.24 kJ per mole of atoms. The density of states at the Fermi level comes out at 1.663 states/eV/atom. The space group is No. 139. The calculated total energy is -3.87 eV per atom. Its crystal system is tetragonal. For the size of the total moment, the calculation gives 2.8 μB per formula unit.

***

A plane-wave DFT calculation with PBE was carried out for a relaxed structure of NpI2Br2.

Cell lengths 4.2809, 7.3504, 7.3504 Å; angles 89.32, 90.22, 90.22 degrees
Last column: nearest neighbours and their distance in Å.
Fractional coordinates of all 5 atoms:
Br: 0.5025 0.1814 0.1814  2 Np 2.86
Br: 0.4975 0.8186 0.8186  2 Np 2.86
I: 0.0000 0.2808 0.7192  1 Np 2.90
I: 0.0000 0.7192 0.2808  1 Np 2.90
Np: 0.0000 0.0000 0.0000  4 Br 2.86, 2 I 2.90

Calculated values
The uncorrected formation energy is -93.15 kJ per mole of atoms. The density of states at the Fermi level comes out at 2.245 states/eV/atom. The space group is No. 12. The calculated total energy is -4.84 eV per atom. Its crystal system is monoclinic. For the size of the total moment, the calculation gives 3.0 μB per formula unit.